1 | An optimized crystal structure of SiSbCl2, computed with PBE.

abc: 12.264 12.264 12.264
angles: 16.53 16.53 16.53
Fractional positions:
Cl (0.039, 0.039, 0.039)
Cl (0.461, 0.461, 0.461)
Sb (0.250, 0.250, 0.250)
Si (0.750, 0.750, 0.750)

## Properties
D(E_F) in states/eV/f.u.: 2.02
Space-group type: R-3m

=====

2 | An optimized crystal structure of SiSbCl2, computed with PBE.

abc: 9.669 9.669 9.669
angles: 20.52 20.52 20.52
Fractional positions:
Cl (0.024, 0.024, 0.024)
Cl (0.233, 0.233, 0.233)
Sb (0.492, 0.492, 0.492)
Si (0.751, 0.751, 0.751)

## Properties
D(E_F) in states/eV/f.u.: 1.00
Space-group type: R3m

=====

3 | An optimized crystal structure of SiSbCl2, computed with PBE.

abc: 4.639 3.413 5.549
angles: 89.06 90.00 90.00
Fractional positions:
Cl (0.000, 0.989, 0.994)
Cl (0.000, 0.511, 0.506)
Sb (0.500, 0.250, 0.250)
Si (0.500, 0.750, 0.750)

## Properties
D(E_F) in states/eV/f.u.: 1.20
Space-group type: P2/m

=====

Order from most stable to least stable according to the calculation: 1, 2, 3

=====

1 | An optimized crystal structure of SiSbCl2, computed with PBE.

abc: 9.746 9.746 9.746
angles: 19.95 19.95 19.95
Fractional positions:
Sb (0.000, 0.000, 0.000)
Si (0.500, 0.500, 0.500)
Cl (0.907, 0.907, 0.907)
Cl (0.093, 0.093, 0.093)

## Properties
D(E_F) in states/eV/f.u.: 1.51
Space-group type: R-3m

=====

2 | An optimized crystal structure of SiSbCl2, computed with PBE.

abc: 3.979 3.980 7.992
angles: 90.00 90.00 90.00
Fractional positions:
Cl (0.000, 0.000, 0.936)
Cl (0.500, 0.500, 0.331)
Sb (0.000, 0.000, 0.639)
Si (0.500, 0.500, 0.594)

## Properties
D(E_F) in states/eV/f.u.: 0.75
Space-group type: P4mm

=====

Order from most stable to least stable according to the calculation: 2, 1

=====

1 | An optimized crystal structure of SiSbCl2, computed with PBE.

abc: 9.784 9.784 9.784
angles: 19.44 19.44 19.44
Fractional positions:
Sb (0.500, 0.500, 0.500)
Si (0.000, 0.000, 0.000)
Cl (0.916, 0.916, 0.916)
Cl (0.084, 0.084, 0.084)

## Properties
D(E_F) in states/eV/f.u.: 1.37
Space-group type: R-3m

=====

2 | An optimized crystal structure of SiSbCl2, computed with PBE.

abc: 5.494 5.494 3.127
angles: 90.00 90.00 111.29
Fractional positions:
Cl (0.000, 0.000, 0.000)
Cl (0.500, 0.500, 0.000)
Sb (0.500, 0.000, 0.500)
Si (0.000, 0.500, 0.500)

## Properties
D(E_F) in states/eV/f.u.: 1.80
Space-group type: Cmmm

=====

Order from most stable to least stable according to the calculation: 1, 2

=====

1 | An optimized crystal structure of SiSbCl2, computed with PBE.

abc: 4.389 4.389 4.519
angles: 90.00 90.00 90.00
Fractional positions:
Cl (0.000, 0.000, 0.000)
Cl (0.500, 0.500, 0.000)
Sb (0.500, 0.000, 0.500)
Si (0.000, 0.500, 0.500)

## Properties
D(E_F) in states/eV/f.u.: 2.30
Space-group type: P4/mmm

=====

2 | An optimized crystal structure of SiSbCl2, computed with PBE.

abc: 5.697 5.697 5.697
angles: 146.49 118.91 71.50
Fractional positions:
Cl (0.020, 0.020, 0.000)
Cl (0.480, 0.480, 0.000)
Sb (0.750, 0.250, 0.500)
Si (0.250, 0.750, 0.500)

## Properties
D(E_F) in states/eV/f.u.: 1.65
Space-group type: Immm

=====

Order from most stable to least stable according to the calculation: 2, 1

=====

1 | An optimized crystal structure of SiSbCl2, computed with PBE.

abc: 5.485 5.485 5.485
angles: 132.92 132.92 68.78
Fractional positions:
Cl (0.000, 0.000, 0.000)
Cl (0.500, 0.500, 0.000)
Sb (0.250, 0.750, 0.500)
Si (0.750, 0.250, 0.500)

## Properties
D(E_F) in states/eV/f.u.: 1.66
Space-group type: I4/mmm

=====

2 | An optimized crystal structure of SiSbCl2, computed with PBE.

abc: 3.377 3.377 10.272
angles: 90.00 90.00 122.98
Fractional positions:
Cl (0.000, 0.000, 0.939)
Cl (0.500, 0.500, 0.293)
Sb (0.000, 0.000, 0.503)
Si (0.500, 0.500, 0.765)

## Properties
D(E_F) in states/eV/f.u.: 1.78
Space-group type: Cmm2

=====

Order from most stable to least stable according to the calculation: 2, 1

=====

1 | An optimized crystal structure of Sm2SbCl, computed with PBE.

abc: 4.229 4.229 7.906
angles: 74.49 74.49 60.00
Fractional positions:
Sm (0.079, 0.079, 0.762)
Sm (0.255, 0.255, 0.236)
Sb (0.668, 0.668, 0.996)
Cl (0.498, 0.498, 0.506)

## Properties
D(E_F) in states/eV/f.u.: 2.20
Space-group type: R3m

=====

2 | An optimized crystal structure of Sm2SbCl, computed with PBE.

abc: 4.391 4.391 7.068
angles: 71.90 71.90 60.00
Fractional positions:
Sb (0.500, 0.500, 0.500)
Sm (0.256, 0.256, 0.232)
Sm (0.744, 0.744, 0.768)
Cl (0.000, 0.000, 0.000)

## Properties
D(E_F) in states/eV/f.u.: 2.29
Space-group type: R-3m

=====

Order from most stable to least stable according to the calculation: 2, 1

=====

1 | An optimized crystal structure of Sn2Sb2Cl, computed with PBE.

abc: 4.855 4.855 7.580
angles: 71.32 71.32 90.00
Fractional positions:
Sb (0.381, 0.381, 0.238)
Sb (0.619, 0.619, 0.762)
Sn (0.750, 0.250, 0.500)
Sn (0.250, 0.750, 0.500)
Cl (0.000, 0.000, 0.000)

## Properties
D(E_F) in states/eV/f.u.: 1.32
Space-group type: I4/mmm

=====

2 | An optimized crystal structure of Sn2Sb2Cl, computed with PBE.

abc: 4.536 4.536 8.262
angles: 74.07 74.07 90.00
Fractional positions:
Sb (0.750, 0.250, 0.500)
Sb (0.250, 0.750, 0.500)
Sn (0.392, 0.392, 0.216)
Sn (0.608, 0.608, 0.784)
Cl (0.000, 0.000, 0.000)

## Properties
D(E_F) in states/eV/f.u.: 1.40
Space-group type: I4/mmm

=====

Order from most stable to least stable according to the calculation: 2, 1

=====

1 | An optimized crystal structure of SnSb3Cl, computed with PBE.

abc: 5.680 5.680 5.680
angles: 90.00 90.00 90.00
Fractional positions:
Sb (0.000, 0.500, 0.000)
Sb (0.000, 0.000, 0.500)
Sb (0.500, 0.000, 0.000)
Sn (0.000, 0.000, 0.000)
Cl (0.500, 0.500, 0.500)

## Properties
D(E_F) in states/eV/f.u.: 3.98
Space-group type: Pm-3m

=====

2 | An optimized crystal structure of SnSb3Cl, computed with PBE.

abc: 5.368 5.368 5.368
angles: 90.00 90.00 90.00
Fractional positions:
Sb (0.000, 0.500, 0.000)
Sb (0.000, 0.000, 0.500)
Sb (0.500, 0.000, 0.000)
Sn (0.500, 0.500, 0.500)
Cl (0.000, 0.000, 0.000)

## Properties
D(E_F) in states/eV/f.u.: 2.98
Space-group type: Pm-3m

=====

Order from most stable to least stable according to the calculation: 2, 1